Here is a relaxed structure of SrHfO3 from the Alexandria database. Energies are from PBE-GGA. Values from VASP.

The structure in Quantum ESPRESSO input format:
```
&SYSTEM
  ibrav = 0, nat = 10, ntyp = 3
/
ATOMIC_SPECIES
Sr 87.62 Sr.upf
O 16.00 O.upf
Hf 178.49 Hf.upf
CELL_PARAMETERS angstrom
-1.6334 7.9901 -1.5578
-3.7869 -6.5231 3.4705
1.9662 1.2946 4.5788
ATOMIC_POSITIONS angstrom
Sr -2.6421 -1.7967 3.0898
Sr -0.8121 4.5583 3.4017
O -2.9947 -0.4809 5.7638
O 0.0000 0.0000 0.0000
O -0.2357 -1.2276 4.7902
O 0.9831 0.6473 2.2894
O -0.4594 3.2426 0.7277
O -3.2185 3.9893 1.7014
Hf -0.3584 7.6161 2.3423
Hf -3.0958 -4.8545 4.1493
```

The calculation puts the total magnetization at 0.00 μB per formula unit. As for the space group: Cmcm (63).



Here is a relaxed structure of SrHfO2 from the Alexandria database. Energies are from PBE-GGA. Values from VASP.

The structure in Quantum ESPRESSO input format:
```
&SYSTEM
  ibrav = 0, nat = 4, ntyp = 3
/
ATOMIC_SPECIES
Sr 87.62 Sr.upf
O 16.00 O.upf
Hf 178.49 Hf.upf
CELL_PARAMETERS angstrom
-1.4044 -3.8976 -0.5954
-2.1013 -1.9555 3.0461
-4.1052 -0.7056 -0.4094
ATOMIC_POSITIONS angstrom
Sr 0.0000 0.0000 0.0000
O -1.9027 -1.6397 0.5103
O -5.7082 -4.9190 1.5309
Hf -3.8055 -3.2793 1.0206
```

The calculation puts the total magnetization at 0.58 μB per formula unit. As for the space group: Fm-3m (225).



Here is a relaxed structure of Sr2HfO4 from the Alexandria database. Energies are from PBE-GGA. Values from VASP.

The structure in Quantum ESPRESSO input format:
```
&SYSTEM
  ibrav = 0, nat = 28, ntyp = 3
/
ATOMIC_SPECIES
O 16.00 O.upf
Sr 87.62 Sr.upf
Hf 178.49 Hf.upf
CELL_PARAMETERS angstrom
-4.2321 11.2147 -6.6308
-8.0075 4.8484 -10.0011
3.0616 -7.6199 10.9642
ATOMIC_POSITIONS angstrom
O -3.8296 2.7178 -4.8451
O -4.8711 4.2596 -2.5896
O -4.5439 1.3321 -2.3325
O -5.4581 9.6611 -7.2291
O -6.5219 3.9280 -5.0203
O -11.2506 14.7652 -15.2880
O -5.1308 6.7336 -6.9720
O -7.1088 9.3295 -9.6598
O -2.2902 5.3137 -3.4709
O -3.7200 -1.2179 1.5614
O -2.6562 4.5153 -0.6474
O -1.3550 0.4995 1.4796
O -0.9890 1.2979 -1.3439
O -7.8231 7.9438 -7.1473
O -10.4267 12.2152 -11.3941
O -4.6342 7.1111 -3.3352
Sr -1.5052 3.0047 0.9166
Sr -3.9798 5.2231 -5.4080
Sr -7.6728 5.4385 -6.5843
Sr -10.0996 13.2547 -13.7240
Sr -2.1400 2.8085 -2.9079
Sr -8.2598 10.8400 -11.2238
Sr -3.3929 -0.1784 -0.7685
Sr -5.7851 8.6217 -4.8992
Hf 0.0000 0.0000 0.0000
Hf -5.5329 2.6301 -3.6764
Hf -6.1198 8.0316 -8.3159
Hf -3.6452 5.8132 -1.9913
```

The calculation puts the total magnetization at 0.00 μB per formula unit. As for the space group: I4_1/acd (142).



Here is a relaxed structure of SrHfO3 from the Alexandria database. Energies are from PBE-GGA. Values from VASP.

The structure in Quantum ESPRESSO input format:
```
&SYSTEM
  ibrav = 0, nat = 10, ntyp = 3
/
ATOMIC_SPECIES
O 16.00 O.upf
Hf 178.49 Hf.upf
Sr 87.62 Sr.upf
CELL_PARAMETERS angstrom
1.9434 6.1092 -3.8362
-3.5295 -6.5770 0.3170
-4.3064 2.3892 1.6233
ATOMIC_POSITIONS angstrom
O -3.2340 -1.9629 -1.5492
O -2.1532 1.1946 0.8116
O -3.4852 3.6404 -2.1809
O -2.4073 -1.7191 0.2850
O 0.0000 0.0000 0.0000
O -2.6585 3.8843 -0.3467
Hf -2.1670 -0.3258 -1.1281
Hf -3.7255 2.2472 -0.7678
Sr -3.6926 -3.8621 0.0296
Sr -2.1999 5.7835 -1.9255
```

The calculation puts the total magnetization at 0.22 μB per formula unit. As for the space group: Cmcm (63).



no.,electronic total energy (eV for the cell shown)
1,-81.48
2,-27.43
3,-222.02
4,-73.58